No. 1
A relaxed Er2BeCo2 crystal, computed with GGA-PBE.

Total moment: 0.000 μB per atom
Distance to the lowest polymorph of the same formula: 0.0 meV/atom
Symmetry: No. 71
Final energy: -5.670 eV/atom
DOS at the Fermi energy: 3.752 states/eV per cell
Formation energy: -257 meV per atom

Structure (POSCAR):
```
Er2BeCo2
1.0
-1.8264 2.7500 4.1105
1.8264 -2.7500 4.1105
1.8264 2.7500 -4.1105
Er Be Co
2 1 2
Direct
0.1968 0.1968 0.0000 Er
0.8032 0.8032 0.0000 Er
0.5000 0.0000 0.5000 Be
0.2601 0.5000 0.7601 Co
0.7399 0.5000 0.2399 Co
```


No. 2
A relaxed Er2BeCo crystal, computed with GGA-PBE.

Total moment: 0.078 μB per atom
Distance to the lowest polymorph of the same formula: 108.0 meV/atom
Symmetry: No. 123
Final energy: -5.056 eV/atom
DOS at the Fermi energy: 2.824 states/eV per cell
Formation energy: -67 meV per atom

Structure (POSCAR):
```
Er2BeCo
1.0
3.3419 0.0000 0.0000
0.0000 3.3419 0.0000
0.0000 0.0000 6.6764
Er Be Co
2 1 1
Direct
0.0000 0.0000 0.2442 Er
0.0000 0.0000 0.7558 Er
0.5000 0.5000 0.5000 Be
0.5000 0.5000 0.0000 Co
```


No. 3
A relaxed ErBe17Co crystal, computed with GGA-PBE.

Total moment: 0.000 μB per atom
Symmetry: No. 160
Final energy: -4.006 eV/atom
DOS at the Fermi energy: 6.165 states/eV per cell
Formation energy: -58 meV per atom

Structure (POSCAR):
```
ErBe17Co
1.0
3.7292 2.1531 3.6167
-3.7292 2.1531 3.6167
0.0000 -4.3062 3.6167
Er Be Co
1 17 1
Direct
0.0000 0.0000 0.0000 Er
0.0426 0.3521 0.6330 Be
0.0426 0.6330 0.3521 Be
0.2149 0.6826 0.6826 Be
0.2488 0.2488 0.2488 Be
0.3360 0.3360 0.8483 Be
0.3360 0.8483 0.3360 Be
0.3521 0.0426 0.6330 Be
0.3521 0.6330 0.0426 Be
0.4429 0.4429 0.4429 Be
0.5065 0.9911 0.9911 Be
0.6330 0.0426 0.3521 Be
0.6330 0.3521 0.0426 Be
0.6826 0.2149 0.6826 Be
0.6826 0.6826 0.2149 Be
0.8483 0.3360 0.3360 Be
0.9911 0.5065 0.9911 Be
0.9911 0.9911 0.5065 Be
0.6552 0.6552 0.6552 Co
```


No. 4
A relaxed Er2Be12Co5 crystal, computed with GGA-PBE.

Total moment: 0.179 μB per atom
Symmetry: No. 166
Final energy: -4.928 eV/atom
DOS at the Fermi energy: 12.222 states/eV per cell
Formation energy: -224 meV per atom

Structure (POSCAR):
```
Er2Be12Co5
1.0
3.9462 2.2784 3.7991
-3.9462 2.2784 3.7991
0.0000 -4.5567 3.7991
Er Be Co
2 12 5
Direct
0.1611 0.1611 0.1611 Er
0.8389 0.8389 0.8389 Er
0.1637 0.1637 0.6489 Be
0.1637 0.6489 0.1637 Be
0.2221 0.5000 0.7779 Be
0.2221 0.7779 0.5000 Be
0.3511 0.8363 0.8363 Be
0.5000 0.2221 0.7779 Be
0.5000 0.7779 0.2221 Be
0.6489 0.1637 0.1637 Be
0.7779 0.2221 0.5000 Be
0.7779 0.5000 0.2221 Be
0.8363 0.3511 0.8363 Be
0.8363 0.8363 0.3511 Be
0.0000 0.5000 0.5000 Co
0.4021 0.4021 0.4021 Co
0.5000 0.0000 0.5000 Co
0.5000 0.5000 0.0000 Co
0.5979 0.5979 0.5979 Co
```


No. 5
A relaxed Er2BeCo crystal, computed with GGA-PBE.

Total moment: 0.000 μB per atom
Distance to the lowest polymorph of the same formula: 105.2 meV/atom
Symmetry: No. 225
Final energy: -5.059 eV/atom
DOS at the Fermi energy: 2.516 states/eV per cell
Formation energy: -69 meV per atom

Structure (POSCAR):
```
Er2BeCo
1.0
0.0000 3.3328 3.3328
3.3328 0.0000 3.3328
3.3328 3.3328 0.0000
Er Be Co
2 1 1
Direct
0.2500 0.2500 0.2500 Er
0.7500 0.7500 0.7500 Er
0.0000 0.0000 0.0000 Be
0.5000 0.5000 0.5000 Co
```


No. 6
A relaxed ErBeCo3 crystal, computed with GGA-PBE.

Total moment: 0.564 μB per atom
Symmetry: No. 63
Final energy: -5.735 eV/atom
DOS at the Fermi energy: 8.321 states/eV per cell
Formation energy: 187 meV per atom

Structure (POSCAR):
```
ErBeCo3
1.0
2.2295 -8.2213 0.0000
2.2295 8.2213 0.0000
0.0000 0.0000 4.2224
Er Be Co
2 2 6
Direct
0.1002 0.8998 0.7500 Er
0.8998 0.1002 0.2500 Er
0.3854 0.6146 0.7500 Be
0.6146 0.3854 0.2500 Be
0.0218 0.4712 0.7500 Co
0.4712 0.0218 0.2500 Co
0.5000 0.5000 0.0000 Co
0.5000 0.5000 0.5000 Co
0.5288 0.9782 0.7500 Co
0.9782 0.5288 0.2500 Co
```


No. 7
A relaxed ErBe3Co2 crystal, computed with GGA-PBE.

Total moment: 0.000 μB per atom
Symmetry: No. 63
Final energy: -5.244 eV/atom
DOS at the Fermi energy: 8.720 states/eV per cell
Formation energy: -251 meV per atom

Structure (POSCAR):
```
ErBe3Co2
1.0
4.3041 -3.3048 0.0000
4.3041 3.3048 0.0000
0.0000 0.0000 5.0915
Er Be Co
2 6 4
Direct
0.1739 0.8261 0.7500 Er
0.8261 0.1739 0.2500 Er
0.0309 0.5912 0.2500 Be
0.4088 0.9691 0.2500 Be
0.4207 0.5793 0.2500 Be
0.5793 0.4207 0.7500 Be
0.5912 0.0309 0.7500 Be
0.9691 0.4088 0.7500 Be
0.3022 0.3022 0.0000 Co
0.3022 0.3022 0.5000 Co
0.6978 0.6978 0.0000 Co
0.6978 0.6978 0.5000 Co
```


No. 8
A relaxed Er2Be4Co3 crystal, computed with GGA-PBE.

Total moment: 0.131 μB per atom
Symmetry: No. 69
Final energy: -5.146 eV/atom
DOS at the Fermi energy: 5.431 states/eV per cell
Formation energy: -107 meV per atom

Structure (POSCAR):
```
Er2Be4Co3
1.0
0.0000 4.4728 5.7877
2.3344 0.0000 5.7877
2.3344 4.4728 0.0000
Er Be Co
2 4 3
Direct
0.1340 0.1340 0.8660 Er
0.8660 0.8660 0.1340 Er
0.1600 0.5314 0.4686 Be
0.4686 0.8400 0.1600 Be
0.5314 0.1600 0.8400 Be
0.8400 0.4686 0.5314 Be
0.0000 0.0000 0.5000 Co
0.5000 0.5000 0.0000 Co
0.5000 0.5000 0.5000 Co
```